HoTmHf, relaxed, DFT PBE; crystal system = tetragonal; spin magnetization = 0.00 μB per cell; calculated volume = 82 Å³/f.u.; calculated formation energy = 0.105 eV per atom; distance to the lowest polymorph of the same formula = 0 meV/atom
1.0
3.3487 0.0000 0.0000
0.0000 3.3487 0.0000
-1.6744 -1.6744 7.3086
Ho Tm Hf
1 1 1
Cartesian
0.0000 0.0000 0.1605
0.0000 0.0000 4.7011
1.6744 1.6744 2.4471